No. 1
Density functional theory data (PBE-GGA) for a geometry-optimized DyHgPt2 structure.

Computed properties:
Symmetry   No. 123
Total magnetization   0.00 μB per cell

Cell: 3.6247 3.6247 5.9957 Å, 90.00 90.00 90.00°
Last column: nearest neighbours and their distance in Å.
Sites, in units of the cell vectors:
Hg 0.5000 0.5000 0.5000  8 Pt 2.96, 2 Dy 3.00
Pt 0.0000 0.0000 0.7455  2 Pt 2.94-3.05, 4 Hg 2.96, 4 Dy 2.98
Pt 0.0000 0.0000 0.2545  2 Pt 2.94-3.05, 4 Hg 2.96, 4 Dy 2.98
Dy 0.5000 0.5000 0.0000  8 Pt 2.98, 2 Hg 3.00

No. 2
Density functional theory data (PBE-GGA) for a geometry-optimized Dy6Hg3Pt structure.

Computed properties:
Symmetry   No. 11
Total magnetization   0.00 μB per cell

Cell: 5.0099 9.6784 11.9585 Å, 113.48 90.00 90.00°
Last column: nearest neighbours and their distance in Å.
Sites, in units of the cell vectors:
Dy 0.2500 0.4836 0.1023  6 Hg 3.04-3.33
Dy 0.7500 0.5164 0.8977  6 Hg 3.04-3.33
Dy 0.2500 0.0911 0.1206  1 Hg 3.09, 5 Dy 3.43-3.45
Dy 0.7500 0.9089 0.8794  1 Hg 3.09, 5 Dy 3.43-3.45
Dy 0.2500 0.6776 0.7075  1 Pt 2.86, 3 Hg 3.12-3.13
Dy 0.7500 0.3224 0.2925  1 Pt 2.86, 3 Hg 3.12-3.13
Dy 0.2500 0.2664 0.4740  2 Pt 2.96, 4 Hg 3.08-3.24
Dy 0.7500 0.7336 0.5260  2 Pt 2.96, 4 Hg 3.08-3.24
Dy 0.2500 0.8825 0.3713  1 Pt 2.81
Dy 0.7500 0.1175 0.6287  1 Pt 2.81
Dy 0.2500 0.1317 0.8470  1 Pt 2.77, 1 Hg 2.97
Dy 0.7500 0.8683 0.1530  1 Pt 2.77, 1 Hg 2.97
Hg 0.2500 0.5300 0.3782  7 Dy 3.12-3.44, 2 Hg 3.29
Hg 0.7500 0.4700 0.6218  7 Dy 3.12-3.44, 2 Hg 3.29
Hg 0.2500 0.3736 0.7537  5 Dy 2.97-3.20, 2 Hg 3.29
Hg 0.7500 0.6264 0.2463  5 Dy 2.97-3.20, 2 Hg 3.29
Hg 0.2500 0.7448 0.9863  7 Dy 3.09-3.33
Hg 0.7500 0.2552 0.0137  7 Dy 3.09-3.33
Pt 0.2500 0.9069 0.6138  5 Dy 2.77-2.96
Pt 0.7500 0.0931 0.3862  5 Dy 2.77-2.96

No. 3
Density functional theory data (PBE-GGA) for a geometry-optimized DyHg2Pt structure.

Computed properties:
Symmetry   No. 11
Total magnetization   0.00 μB per cell

Cell: 4.0337 5.4326 8.8125 Å, 90.00 90.00 112.07°
Last column: nearest neighbours and their distance in Å.
Sites, in units of the cell vectors:
Hg 0.3640 0.7253 0.5459  3 Pt 2.86-2.92, 3 Hg 2.88-3.14
Hg 0.6360 0.2747 0.4541  3 Pt 2.86-2.92, 3 Hg 2.88-3.14
Hg 0.3640 0.7253 0.9541  3 Pt 2.86-2.92, 3 Hg 2.88-3.14
Hg 0.6360 0.2747 0.0459  3 Pt 2.86-2.92, 3 Hg 2.88-3.14
Pt 0.7685 0.5355 0.7500  3 Dy 2.85-3.01, 6 Hg 2.86-2.92
Pt 0.2315 0.4645 0.2500  3 Dy 2.85-3.01, 6 Hg 2.86-2.92
Dy 0.9339 0.8661 0.2500  3 Pt 2.85-3.01
Dy 0.0661 0.1339 0.7500  3 Pt 2.85-3.01

No. 4
Density functional theory data (PBE-GGA) for a geometry-optimized Dy6Hg2Pt structure.

Computed properties:
Symmetry   No. 14
Total magnetization   0.00 μB per cell

Cell: 6.8691 7.4593 10.2694 Å, 90.00 90.40 90.00°
Last column: nearest neighbours and their distance in Å.
Sites, in units of the cell vectors:
Dy 0.8730 0.9820 0.2421  1 Pt 2.79, 2 Hg 3.03-3.10
Dy 0.8162 0.6808 0.5569  1 Pt 2.76, 1 Hg 3.05
Dy 0.8329 0.6965 0.9469  1 Pt 2.77, 1 Hg 3.08
Dy 0.6671 0.1965 0.5531  1 Pt 2.77, 1 Hg 3.08
Dy 0.6838 0.1808 0.9431  1 Pt 2.76, 1 Hg 3.05
Dy 0.6270 0.4820 0.2579  1 Pt 2.79, 2 Hg 3.03-3.10
Dy 0.1270 0.0180 0.7579  1 Pt 2.79, 2 Hg 3.03-3.10
Dy 0.1838 0.3192 0.4431  1 Pt 2.76, 1 Hg 3.05
Dy 0.1671 0.3035 0.0531  1 Pt 2.77, 1 Hg 3.08
Dy 0.3329 0.8035 0.4469  1 Pt 2.77, 1 Hg 3.08
Dy 0.3162 0.8192 0.0569  1 Pt 2.76, 1 Hg 3.05
Dy 0.3730 0.5180 0.7421  1 Pt 2.79, 2 Hg 3.03-3.10
Hg 0.9508 0.4005 0.7542  6 Dy 3.03-3.21
Hg 0.5492 0.9005 0.7458  6 Dy 3.03-3.21
Hg 0.4508 0.0995 0.2542  6 Dy 3.03-3.21
Hg 0.0492 0.5995 0.2458  6 Dy 3.03-3.21
Pt 0.5000 0.5000 0.0000  6 Dy 2.76-2.79
Pt 0.0000 0.0000 0.5000  6 Dy 2.76-2.79

No. 5
Density functional theory data (PBE-GGA) for a geometry-optimized Dy3Hg2Pt structure.

Computed properties:
Symmetry   No. 123
Total magnetization   0.00 μB per cell

Cell: 3.6251 3.6251 11.0497 Å, 90.00 90.00 90.00°
Last column: nearest neighbours and their distance in Å.
Sites, in units of the cell vectors:
Dy 0.0000 0.0000 0.0000  8 Hg 3.18
Dy 0.0000 0.0000 0.6486  4 Pt 3.04, 4 Hg 3.26, 1 Dy 3.28
Dy 0.0000 0.0000 0.3514  4 Pt 3.04, 4 Hg 3.26, 1 Dy 3.28
Hg 0.5000 0.5000 0.8304  8 Dy 3.18-3.26
Hg 0.5000 0.5000 0.1696  8 Dy 3.18-3.26
Pt 0.5000 0.5000 0.5000  8 Dy 3.04

No. 6
Density functional theory data (PBE-GGA) for a geometry-optimized Dy7Hg2Pt2 structure.

Computed properties:
Symmetry   No. 65
Total magnetization   0.00 μB per cell

Cell: 6.8188 7.1059 6.8188 Å, 90.00 106.76 90.00°
Last column: nearest neighbours and their distance in Å.
Sites, in units of the cell vectors:
Dy 0.0000 0.2546 0.5000  2 Pt 2.75
Dy 0.5000 0.7454 0.0000  2 Pt 2.75
Dy 0.0000 0.7454 0.5000  2 Pt 2.75
Dy 0.5000 0.2546 0.0000  2 Pt 2.75
Dy 0.0000 0.0000 0.0000  2 Pt 3.15
Dy 0.5000 0.7513 0.5000  2 Pt 2.92, 2 Hg 3.14
Dy 0.5000 0.2487 0.5000  2 Pt 2.92, 2 Hg 3.14
Hg 0.8174 0.5000 0.8174  1 Hg 2.97, 6 Dy 3.14-3.29
Hg 0.1826 0.5000 0.1826  1 Hg 2.97, 6 Dy 3.14-3.29
Pt 0.7118 0.0000 0.2882  6 Dy 2.75-2.92
Pt 0.2882 0.0000 0.7118  6 Dy 2.75-2.92

No. 7
Density functional theory data (PBE-GGA) for a geometry-optimized Dy4HgPtRh2 structure.

Computed properties:
Symmetry   No. 166
Total magnetization   0.00 μB per cell

Cell: 4.9629 4.9629 8.6571 Å, 73.34 73.34 60.00°
Last column: nearest neighbours and their distance in Å.
Sites, in units of the cell vectors:
Dy 0.3802 0.3802 0.8593  1 Pt 2.94, 4 Rh 3.00-3.20, 3 Hg 3.09
Dy 0.8712 0.8712 0.3865  4 Rh 2.96-3.07, 3 Pt 3.01, 1 Hg 3.16
Dy 0.1288 0.1288 0.6135  4 Rh 2.96-3.07, 3 Pt 3.01, 1 Hg 3.16
Dy 0.6198 0.6198 0.1407  1 Pt 2.94, 4 Rh 3.00-3.20, 3 Hg 3.09
Hg 0.0000 0.0000 0.0000  8 Dy 3.09-3.16
Pt 0.5000 0.5000 0.5000  8 Dy 2.94-3.01
Rh 0.7505 0.7505 0.7486  8 Dy 2.96-3.20
Rh 0.2495 0.2495 0.2514  8 Dy 2.96-3.20

No. 8
Density functional theory data (PBE-GGA) for a geometry-optimized DyHgPtRh structure.

Computed properties:
Symmetry   No. 216
Total magnetization   0.00 μB per cell

Cell: 4.7497 4.7497 4.7497 Å, 60.00 60.00 60.00°
Last column: nearest neighbours and their distance in Å.
Sites, in units of the cell vectors:
Rh 0.2500 0.2500 0.2500  4 Hg 2.91, 4 Dy 2.91
Hg 0.5000 0.5000 0.5000  4 Pt 2.91, 4 Rh 2.91
Pt 0.7500 0.7500 0.7500  4 Dy 2.91, 4 Hg 2.91
Dy 0.0000 0.0000 0.0000  4 Rh 2.91, 4 Pt 2.91

No. 9
Density functional theory data (PBE-GGA) for a geometry-optimized DySnHgPt structure.

Computed properties:
Symmetry   No. 216
Total magnetization   0.00 μB per cell

Cell: 4.9839 4.9839 4.9839 Å, 60.00 60.00 60.00°
Last column: nearest neighbours and their distance in Å.
Sites, in units of the cell vectors:
Sn 0.0000 0.0000 0.0000  4 Hg 3.05, 4 Pt 3.05
Hg 0.2500 0.2500 0.2500  4 Dy 3.05, 4 Sn 3.05
Pt 0.7500 0.7500 0.7500  4 Sn 3.05, 4 Dy 3.05
Dy 0.5000 0.5000 0.5000  4 Pt 3.05, 4 Hg 3.05

No. 10
Density functional theory data (PBE-GGA) for a geometry-optimized SrDyHgPt structure.

Computed properties:
Symmetry   No. 216
Total magnetization   0.00 μB per cell

Cell: 5.2234 5.2234 5.2234 Å, 60.00 60.00 60.00°
Last column: nearest neighbours and their distance in Å.
Sites, in units of the cell vectors:
Sr 0.5000 0.5000 0.5000  4 Hg 3.20, 4 Pt 3.20
Hg 0.2500 0.2500 0.2500  4 Dy 3.20, 4 Sr 3.20
Pt 0.7500 0.7500 0.7500  4 Sr 3.20, 4 Dy 3.20
Dy 0.0000 0.0000 0.0000  4 Hg 3.20, 4 Pt 3.20

No. 11
Density functional theory data (PBE-GGA) for a geometry-optimized DyTlHgPt structure.

Computed properties:
Symmetry   No. 216
Total magnetization   0.00 μB per cell

Cell: 5.0300 5.0300 5.0300 Å, 60.00 60.00 60.00°
Last column: nearest neighbours and their distance in Å.
Sites, in units of the cell vectors:
Tl 0.0000 0.0000 0.0000  4 Hg 3.08, 4 Pt 3.08
Hg 0.2500 0.2500 0.2500  4 Dy 3.08, 4 Tl 3.08
Pt 0.7500 0.7500 0.7500  4 Tl 3.08, 4 Dy 3.08
Dy 0.5000 0.5000 0.5000  4 Pt 3.08, 4 Hg 3.08

No. 12
Density functional theory data (PBE-GGA) for a geometry-optimized DyZnHgPt structure.

Computed properties:
Symmetry   No. 216
Total magnetization   0.00 μB per cell

Cell: 4.8338 4.8338 4.8338 Å, 60.00 60.00 60.00°
Last column: nearest neighbours and their distance in Å.
Sites, in units of the cell vectors:
Zn 0.0000 0.0000 0.0000  4 Pt 2.96, 4 Hg 2.96
Hg 0.7500 0.7500 0.7500  4 Dy 2.96, 4 Zn 2.96
Pt 0.2500 0.2500 0.2500  4 Dy 2.96, 4 Zn 2.96
Dy 0.5000 0.5000 0.5000  4 Hg 2.96, 4 Pt 2.96

Looking at energy relative to the elements for the records above, in order, we have -0.75; -0.53; -0.57; -0.42; -0.74; -0.54; -0.84; -0.61; -0.61; -0.64; -0.48; -0.56 eV per atom.